Entry 1:
# Ta2CdCoAs (PBE, relaxed)
# ΔH_f (0 K) (meV/atom): 2010
# Volume (Å³/cell): 114.0
# N(E_F) (states/eV/f.u.): 7.2
data_Ta2CdCoAs
_cell_length_a 5.0157
_cell_length_b 5.0157
_cell_length_c 4.5312
_cell_angle_alpha 90.00
_cell_angle_beta 90.00
_cell_angle_gamma 90.00
_space_group_name_H-M_alt 'P 4/m m m'
_space_group_IT_number 123
_space_group_name_Hall '-P 4 2'
loop_
_atom_site_label
_atom_site_type_symbol
_atom_site_fract_x
_atom_site_fract_y
_atom_site_fract_z
Ta1 Ta 0.0000 0.5000 0.0000
Cd1 Cd 0.0000 0.0000 0.0000
Co1 Co 0.0000 0.0000 0.5000
As1 As 0.5000 0.5000 0.5000



Entry 2:
# NiAg2Au8 (PBE, relaxed)
# ΔH_f (0 K) (meV/atom): 10
# Volume (Å³/cell): 384.5
# N(E_F) (states/eV/f.u.): 3.8
data_NiAg2Au8
_cell_length_a 14.8480
_cell_length_b 4.1013
_cell_length_c 6.5508
_cell_angle_alpha 90.00
_cell_angle_beta 105.47
_cell_angle_gamma 90.00
_space_group_name_H-M_alt 'C 1 2/m 1'
_space_group_IT_number 12
_space_group_name_Hall '-C 2y'
loop_
_atom_site_label
_atom_site_type_symbol
_atom_site_fract_x
_atom_site_fract_y
_atom_site_fract_z
Ni1 Ni 0.0000 0.0000 0.0000
Ag1 Ag 0.2254 0.5000 0.6356
Au1 Au 0.0437 0.5000 0.7346
Au2 Au 0.0892 0.0000 0.4421
Au3 Au 0.1335 0.5000 0.1754
Au4 Au 0.1780 0.0000 0.9093



Entry 3:
# KCrSb3 (PBE, relaxed)
# Volume (Å³/cell): 145.3
# Energy above the lowest structure with this stoichiometry (meV/atom): 0
# N(E_F) (states/eV/f.u.): 2.7
# Formation energy from raw total energies (kJ/mol of atoms): 12.3
data_KCrSb3
_cell_length_a 5.2577
_cell_length_b 5.2577
_cell_length_c 5.2577
_cell_angle_alpha 90.00
_cell_angle_beta 90.00
_cell_angle_gamma 90.00
_space_group_name_H-M_alt 'P m -3 m'
_space_group_IT_number 221
_space_group_name_Hall '-P 4 2 3'
loop_
_atom_site_label
_atom_site_type_symbol
_atom_site_fract_x
_atom_site_fract_y
_atom_site_fract_z
K1 K 0.0000 0.0000 0.0000
Cr1 Cr 0.5000 0.5000 0.5000
Sb1 Sb 0.0000 0.5000 0.5000



Entry 4:
# Na3Sn2Se4 (PBE, relaxed)
# Volume (Å³/cell): 1081.4
# N(E_F) (states/eV/f.u.): 2.9
# Formation energy from raw total energies (kJ/mol of atoms): -69.9
data_Na3Sn2Se4
_cell_length_a 12.4692
_cell_length_b 9.7416
_cell_length_c 8.9056
_cell_angle_alpha 90.00
_cell_angle_beta 91.51
_cell_angle_gamma 90.00
_space_group_name_H-M_alt 'C 1 2/c 1'
_space_group_IT_number 15
_space_group_name_Hall '-C 2yc'
loop_
_atom_site_label
_atom_site_type_symbol
_atom_site_fract_x
_atom_site_fract_y
_atom_site_fract_z
Na1 Na 0.0000 0.1184 0.2500
Na2 Na 0.1319 0.3803 0.0555
Sn1 Sn 0.1559 0.1375 0.6052
Se1 Se 0.1222 0.3520 0.3967
Se2 Se 0.1299 0.0898 0.9278



Entry 5:
# La3Pm4Sm5 (PBE, relaxed)
# ΔH_f (0 K) (meV/atom): 17
# Volume (Å³/cell): 418.7
# Energy above the lowest structure with this stoichiometry (meV/atom): 0
# N(E_F) (states/eV/f.u.): 19.5
data_La3Pm4Sm5
_cell_length_a 6.3532
_cell_length_b 7.3235
_cell_length_c 8.9989
_cell_angle_alpha 89.95
_cell_angle_beta 89.89
_cell_angle_gamma 89.89
_space_group_name_H-M_alt 'P -1'
_space_group_IT_number 2
_space_group_name_Hall '-P 1'
loop_
_atom_site_label
_atom_site_type_symbol
_atom_site_fract_x
_atom_site_fract_y
_atom_site_fract_z
La1 La 0.0000 0.0000 0.0000
La2 La 0.1665 0.2506 0.3327
Pm1 Pm 0.1685 0.7499 0.3331
Pm2 Pm 0.3325 0.4994 0.6675
Sm1 Sm 0.0000 0.5000 0.0000
Sm2 Sm 0.3345 0.0002 0.6671
Sm3 Sm 0.4984 0.7490 0.0001



Entry 6:
# Pm4IrAu (PBE, relaxed)
# ΔH_f (0 K) (meV/atom): -484
# Volume (Å³/cell): 187.6
# Energy above the lowest structure with this stoichiometry (meV/atom): 26
# N(E_F) (states/eV/f.u.): 5.5
data_Pm4IrAu
_cell_length_a 6.1161
_cell_length_b 4.3380
_cell_length_c 7.6336
_cell_angle_alpha 90.00
_cell_angle_beta 112.16
_cell_angle_gamma 90.00
_space_group_name_H-M_alt 'P 1 m 1'
_space_group_IT_number 6
_space_group_name_Hall 'P -2y'
loop_
_atom_site_label
_atom_site_type_symbol
_atom_site_fract_x
_atom_site_fract_y
_atom_site_fract_z
Pm1 Pm 0.0000 0.0000 0.0000
Pm2 Pm 0.0424 0.0000 0.5456
Pm3 Pm 0.4975 0.5000 0.0045
Pm4 Pm 0.5431 0.5000 0.5350
Ir1 Ir 0.5221 0.0000 0.7703
Au1 Au 0.0183 0.5000 0.2724



Entry 7:
# Pm3ThHg2C (PBE, relaxed)
# ΔH_f (0 K) (meV/atom): -285
# Volume (Å³/cell): 395.2
# N(E_F) (states/eV/f.u.): 5.5
data_Pm3ThHg2C
_cell_length_a 5.0551
_cell_length_b 5.1199
_cell_length_c 15.2709
_cell_angle_alpha 90.00
_cell_angle_beta 90.00
_cell_angle_gamma 90.00
_space_group_name_H-M_alt 'I m m m'
_space_group_IT_number 71
_space_group_name_Hall '-I 2 2'
loop_
_atom_site_label
_atom_site_type_symbol
_atom_site_fract_x
_atom_site_fract_y
_atom_site_fract_z
Pm1 Pm 0.0000 0.0000 0.0000
Pm2 Pm 0.0000 0.5000 0.1694
Th1 Th 0.0000 0.0000 0.5000
Hg1 Hg 0.0000 0.5000 0.3694
C1 C 0.0000 0.5000 0.0000



Entry 8:
# Cd2SiPd2 (PBE, relaxed)
# Volume (Å³/cell): 179.5
# N(E_F) (states/eV/f.u.): 1.7
# Formation energy from raw total energies (kJ/mol of atoms): -30.6
data_Cd2SiPd2
_cell_length_a 6.3633
_cell_length_b 6.3633
_cell_length_c 4.4325
_cell_angle_alpha 90.00
_cell_angle_beta 90.00
_cell_angle_gamma 90.00
_space_group_name_H-M_alt 'P 4/m b m'
_space_group_IT_number 127
_space_group_name_Hall '-P 4 2ab'
loop_
_atom_site_label
_atom_site_type_symbol
_atom_site_fract_x
_atom_site_fract_y
_atom_site_fract_z
Cd1 Cd 0.1585 0.3415 0.0000
Si1 Si 0.0000 0.0000 0.5000
Pd1 Pd 0.1576 0.6576 0.5000



Entry 9:
# TlOsCl (PBE, relaxed)
# Volume (Å³/cell): 129.2
# Energy above the lowest structure with this stoichiometry (meV/atom): 222
# N(E_F) (states/eV/f.u.): 1.7
# Formation energy from raw total energies (kJ/mol of atoms): 95.4
data_TlOsCl
_cell_length_a 2.9498
_cell_length_b 3.6124
_cell_length_c 12.1250
_cell_angle_alpha 90.00
_cell_angle_beta 90.00
_cell_angle_gamma 90.00
_space_group_name_H-M_alt 'I m m 2'
_space_group_IT_number 44
_space_group_name_Hall 'I 2 -2'
loop_
_atom_site_label
_atom_site_type_symbol
_atom_site_fract_x
_atom_site_fract_y
_atom_site_fract_z
Tl1 Tl 0.0000 0.0000 0.0000
Os1 Os 0.0000 0.0000 0.3028
Cl1 Cl 0.0000 0.0000 0.7418



Entry 10:
# HRhO2 (PBE, relaxed)
# Volume (Å³/cell): 159.5
# N(E_F) (states/eV/f.u.): 0.1
data_HRhO2
_cell_length_a 6.0240
_cell_length_b 5.5550
_cell_length_c 5.5839
_cell_angle_alpha 90.00
_cell_angle_beta 121.42
_cell_angle_gamma 90.00
_space_group_name_H-M_alt 'C 1 c 1'
_space_group_IT_number 9
_space_group_name_Hall 'C -2yc'
loop_
_atom_site_label
_atom_site_type_symbol
_atom_site_fract_x
_atom_site_fract_y
_atom_site_fract_z
H1 H 0.0000 0.1965 0.0000
Rh1 Rh 0.1274 0.3701 0.4933
O1 O 0.3603 0.4078 0.9134
O2 O 0.4335 0.1548 0.5465



Entry 11:
# Tm2AlV2Ru5 (PBE, relaxed)
# ΔH_f (0 K) (meV/atom): -321
# Volume (Å³/cell): 328.2
# N(E_F) (states/eV/f.u.): 6.2
data_Tm2AlV2Ru5
_cell_length_a 10.1580
_cell_length_b 10.1580
_cell_length_c 3.1804
_cell_angle_alpha 90.00
_cell_angle_beta 90.00
_cell_angle_gamma 90.00
_space_group_name_H-M_alt 'P 4/m b m'
_space_group_IT_number 127
_space_group_name_Hall '-P 4 2ab'
loop_
_atom_site_label
_atom_site_type_symbol
_atom_site_fract_x
_atom_site_fract_y
_atom_site_fract_z
Tm1 Tm 0.1723 0.3277 0.0000
Al1 Al 0.0000 0.0000 0.0000
V1 V 0.1299 0.6299 0.0000
Ru1 Ru 0.0000 0.5000 0.5000
Ru2 Ru 0.0660 0.7994 0.5000



Entry 12:
# RbSiAu3 (PBE, relaxed)
# Volume (Å³/cell): 548.6
# Energy above the lowest structure with this stoichiometry (meV/atom): 199
# N(E_F) (states/eV/f.u.): 0.4
# Formation energy from raw total energies (kJ/mol of atoms): -7.3
data_RbSiAu3
_cell_length_a 5.8003
_cell_length_b 5.8003
_cell_length_c 16.3048
_cell_angle_alpha 90.00
_cell_angle_beta 90.00
_cell_angle_gamma 90.00
_space_group_name_H-M_alt 'I -4 m 2'
_space_group_IT_number 119
_space_group_name_Hall 'I -4 -2'
loop_
_atom_site_label
_atom_site_type_symbol
_atom_site_fract_x
_atom_site_fract_y
_atom_site_fract_z
Rb1 Rb 0.0000 0.0000 0.1351
Si1 Si 0.0000 0.0000 0.5000
Si2 Si 0.0000 0.5000 0.2500
Au1 Au 0.0000 0.2299 0.3619
Au2 Au 0.0000 0.5000 0.5083



no.,uncorrected energy (eV/cell)
1,-26.33
2,-75.19
3,-22.45
4,-129.68
5,-57.17
6,-34.05
7,-66.99
8,-38.45
9,-24.95
10,-92.58
11,-161.02
12,-66.40